An optimized crystal structure of ZnCu2SnTe4. Source: Alexandria via LeMat-Bulk, functional GGA-PBE. Values from VASP.

Results
Volume ... 29.6 A^3/atom
Raw formation energy ... -223 meV per atom
Total DFT energy (no corrections) ... -27.82 eV for the cell shown

Structure (Quantum ESPRESSO input):
```
&SYSTEM
  ibrav = 0, nat = 8, ntyp = 4
/
ATOMIC_SPECIES
Zn 65.41 Zn.upf
Cu 63.55 Cu.upf
Sn 118.71 Sn.upf
Te 127.60 Te.upf
ATOMIC_POSITIONS angstrom
Zn 0.0000 0.0000 0.0000
Cu 3.0956 0.0000 3.0840
Cu 0.0000 3.0956 3.0840
Sn 0.0000 0.0000 6.1680
Te 1.6137 -1.6137 4.4727
Te 1.4820 1.4820 1.6953
Te -1.6137 1.6137 4.4727
Te 1.6137 1.6137 7.8632
CELL_PARAMETERS angstrom
-3.0956 3.0956 6.1680
3.0956 -3.0956 6.1680
3.0956 3.0956 -6.1680
```